# SrTc2Ru

A relaxed SrTc2Ru crystal (PBE-GGA, the Alexandria database).

Cell and atoms, written as POSCAR:
```
SrTc2Ru
1.0
-3.571 -3.131 1.048
-0.959 -4.738 0.533
0.571 -0.941 5.823
Sr Tc Ru
1 2 1
Direct
0.247 0.247 0.257
0.748 0.748 0.756
0.038 0.038 0.894
0.467 0.467 0.593
```

Values from the calculation:
Offset from the most stable computed form   53 meV/atom
Crystal system   monoclinic
Energy of formation from the pure elements   588 meV/atom
VASP energy   -29.3 eV/cell

# SrTcRu

A relaxed SrTcRu crystal (PBE-GGA, the Alexandria database).

Cell and atoms, written as POSCAR:
```
SrTcRu
1.0
-1.840 -0.569 -4.069
2.512 -1.518 -3.414
-0.663 -4.152 -1.610
Ru Sr Tc
1 1 1
Direct
0.000 0.000 0.000
0.500 0.500 0.500
0.750 0.750 0.750
```

Values from the calculation:
Offset from the most stable computed form   631 meV/atom
Crystal system   cubic
Energy of formation from the pure elements   1038 meV/atom
VASP energy   -18.2 eV/cell

# SrTcRu

A relaxed SrTcRu crystal (PBE-GGA, the Alexandria database).

Cell and atoms, written as POSCAR:
```
SrTcRu
1.0
2.959 0.000 0.000
-1.479 2.562 0.000
0.000 0.000 7.468
Sr Tc Ru
1 1 1
Direct
0.333 0.667 0.331
0.667 0.333 0.704
0.000 0.000 0.965
```

Values from the calculation:
Offset from the most stable computed form   525 meV/atom
Crystal system   trigonal
Energy of formation from the pure elements   932 meV/atom
VASP energy   -18.5 eV/cell

# SrTcTeRu2

A relaxed SrTcTeRu2 crystal (PBE-GGA, the Alexandria database).

Cell and atoms, written as POSCAR:
```
SrTcTeRu2
1.0
4.688 0.000 0.000
0.000 5.655 0.000
0.000 0.000 4.688
Sr Ru Tc Te
1 2 1 1
Direct
0.000 0.000 0.000
0.000 0.000 0.500
0.500 0.000 0.000
0.500 0.500 0.500
0.000 0.500 0.000
```

Values from the calculation:
Crystal system   tetragonal
VASP energy   -20.1 eV/cell
Formation energy without anion corrections   2721 meV per atom

# SrTi2TcRu

A relaxed SrTi2TcRu crystal (PBE-GGA, the Alexandria database).

Cell and atoms, written as POSCAR:
```
SrTi2TcRu
1.0
4.624 0.000 0.000
0.000 4.551 0.000
0.000 0.000 4.624
Tc Ti Ru Sr
1 2 1 1
Direct
0.000 0.500 0.000
0.000 0.000 0.500
0.500 0.000 0.000
0.500 0.500 0.500
0.000 0.000 0.000
```

Values from the calculation:
Crystal system   tetragonal
Energy of formation from the pure elements   2381 meV/atom
VASP energy   -25.2 eV/cell

# SrY2TcRu

A relaxed SrY2TcRu crystal (PBE-GGA, the Alexandria database).

Cell and atoms, written as POSCAR:
```
SrY2TcRu
1.0
-4.477 -1.190 -2.346
2.723 -2.811 -3.770
-0.388 -4.282 2.913
Y Sr Tc Ru
2 1 1 1
Direct
0.500 0.000 0.000
0.000 0.000 0.500
0.000 0.500 0.000
0.000 0.000 0.000
0.500 0.500 0.500
```

Values from the calculation:
Crystal system   tetragonal
Energy of formation from the pure elements   898 meV/atom
VASP energy   -29.8 eV/cell

# Sr2TeRu

A relaxed Sr2TeRu crystal (PBE-GGA, the Alexandria database).

Cell and atoms, written as POSCAR:
```
Sr2TeRu
1.0
-4.576 0.157 -2.481
-0.208 -0.837 -5.136
-2.117 -4.388 -1.839
Ru Te Sr
1 1 2
Direct
0.500 0.500 0.500
0.750 0.750 0.750
0.000 0.000 0.000
0.250 0.250 0.250
```

Values from the calculation:
Crystal system   cubic
VASP energy   -15.7 eV/cell
Formation energy without anion corrections   24 meV per atom

# SrTe2Ru

A relaxed SrTe2Ru crystal (PBE-GGA, the Alexandria database).

Cell and atoms, written as POSCAR:
```
SrTe2Ru
1.0
3.434 0.000 0.000
0.000 3.434 0.000
0.000 0.000 9.535
Sr Ru Te
1 1 2
Direct
0.500 0.500 0.716
0.000 0.000 0.470
0.500 0.500 0.348
0.000 0.000 0.966
```

Values from the calculation:
Offset from the most stable computed form   383 meV/atom
Crystal system   tetragonal
VASP energy   -18.4 eV/cell
Formation energy without anion corrections   -279 meV per atom